Compound: SmLuInRu
Source: Alexandria via LeMat-Bulk
Functional: PBE
Structure: relaxed

## Properties
ΔH_f (0 K)   -307 meV per atom
SG   F-43m (216)
N(E_F)   2.74 states/eV per cell

Cell: 5.065 5.065 5.065 Å, 60.00 60.00 60.00°
Sites, in units of the cell vectors:
Sm: 0.000 0.000 0.000
Ru: 0.750 0.750 0.750
In: 0.250 0.250 0.250
Lu: 0.500 0.500 0.500

=====

Compound: Mg3Cd
Source: Alexandria via LeMat-Bulk
Functional: PBE
Structure: relaxed

## Properties
ΔH_f (0 K)   -48 meV per atom
SG   P6_3cm (185)
N(E_F)   8.80 states/eV per cell

Cell: 8.483 8.483 8.777 Å, 90.00 90.00 120.00°
Sites, in units of the cell vectors:
Mg: 0.000 0.718 0.237
Mg: 0.718 0.000 0.237
Mg: 0.372 0.000 0.400
Mg: 0.628 0.000 0.900
Mg: 0.000 0.000 0.982
Mg: 0.372 0.372 0.900
Mg: 0.333 0.667 0.145
Mg: 0.333 0.667 0.645
Mg: 0.282 0.282 0.237
Mg: 0.282 0.000 0.737
Mg: 0.000 0.000 0.482
Mg: 0.667 0.333 0.645
Mg: 0.000 0.628 0.900
Mg: 0.000 0.282 0.737
Mg: 0.718 0.718 0.737
Mg: 0.000 0.372 0.400
Mg: 0.667 0.333 0.145
Mg: 0.628 0.628 0.400
Cd: 0.669 0.669 0.066
Cd: 0.331 0.000 0.066
Cd: 0.331 0.331 0.566
Cd: 0.000 0.331 0.066
Cd: 0.000 0.669 0.566
Cd: 0.669 0.000 0.566

=====

Compound: MgReAu
Source: Alexandria via LeMat-Bulk
Functional: PBE
Structure: relaxed

## Properties
ΔH_f (0 K)   802 meV per atom
SG   F-43m (216)
Offset from the most stable computed form   0.6156 eV/atom
N(E_F)   1.91 states/eV per cell

Cell: 4.397 4.397 4.397 Å, 60.00 60.00 60.00°
Sites, in units of the cell vectors:
Au: 0.250 0.250 0.250
Mg: 0.000 0.000 0.000
Re: 0.500 0.500 0.500

=====

Compound: TlW2Au
Source: Alexandria via LeMat-Bulk
Functional: PBE
Structure: relaxed

## Properties
ΔH_f (0 K)   848 meV per atom
SG   Cmmm (65)
Offset from the most stable computed form   0.3396 eV/atom
N(E_F)   2.23 states/eV per cell

Cell: 5.319 5.319 2.843 Å, 90.00 90.00 116.66°
Sites, in units of the cell vectors:
Au: 0.500 0.000 0.500
W: 0.500 0.500 0.000
W: 0.000 0.000 0.000
Tl: 0.000 0.500 0.500

=====

Compound: TeSe2Cl
Source: Alexandria via LeMat-Bulk
Functional: PBE
Structure: relaxed

## Properties
SG   Fm-3m (225)
Offset from the most stable computed form   0.4805 eV/atom
Formation energy without anion corrections   338 meV/atom
N(E_F)   4.78 states/eV per cell

Cell: 5.004 5.004 5.004 Å, 60.00 60.00 60.00°
Sites, in units of the cell vectors:
Se: 0.250 0.250 0.250
Se: 0.750 0.750 0.750
Te: 0.500 0.500 0.500
Cl: 0.000 0.000 0.000

=====

Compound: As4RuI2
Source: Alexandria via LeMat-Bulk
Functional: PBE
Structure: relaxed

## Properties
SG   I4/mmm (139)
Formation energy without anion corrections   389 meV/atom
N(E_F)   7.16 states/eV per cell

Cell: 4.604 4.604 9.885 Å, 76.53 76.53 90.00°
Sites, in units of the cell vectors:
Ru: 0.000 0.000 0.000
I: 0.658 0.658 0.683
I: 0.342 0.342 0.317
As: 0.000 0.500 0.000
As: 0.138 0.138 0.724
As: 0.862 0.862 0.276
As: 0.500 0.000 0.000

=====

Compound: InRe2Os
Source: Alexandria via LeMat-Bulk
Functional: PBE
Structure: relaxed

## Properties
ΔH_f (0 K)   588 meV per atom
SG   I-4m2 (119)
N(E_F)   5.51 states/eV per cell

Cell: 4.873 4.873 4.873 Å, 131.40 131.40 71.18°
Sites, in units of the cell vectors:
Os: 0.750 0.250 0.500
In: 0.500 0.500 0.000
Re: 0.000 0.000 0.000
Re: 0.250 0.750 0.500

=====

Compound: KCaScNi2
Source: Alexandria via LeMat-Bulk
Functional: PBE
Structure: relaxed

## Properties
ΔH_f (0 K)   1366 meV per atom
SG   P4/mmm (123)
N(E_F)   5.67 states/eV per cell

Cell: 4.751 4.846 4.751 Å, 90.00 90.00 90.00°
Sites, in units of the cell vectors:
K: 0.000 0.000 0.000
Ni: 0.000 0.000 0.500
Ni: 0.500 0.000 0.000
Sc: 0.500 0.500 0.500
Ca: 0.000 0.500 0.000

=====

Compound: Y2Ti2Tc
Source: Alexandria via LeMat-Bulk
Functional: PBE
Structure: relaxed

## Properties
ΔH_f (0 K)   18 meV per atom
SG   P4/mbm (127)
N(E_F)   9.03 states/eV per cell

Cell: 6.492 6.492 5.203 Å, 90.00 90.00 90.00°
Sites, in units of the cell vectors:
Ti: 0.350 0.850 0.000
Ti: 0.650 0.150 0.000
Ti: 0.150 0.350 0.000
Ti: 0.850 0.650 0.000
Tc: 0.500 0.500 0.000
Tc: 0.000 0.000 0.000
Y: 0.324 0.176 0.500
Y: 0.676 0.824 0.500
Y: 0.824 0.324 0.500
Y: 0.176 0.676 0.500

=====

Compound: NiAgPt
Source: Alexandria via LeMat-Bulk
Functional: PBE
Structure: relaxed

## Properties
ΔH_f (0 K)   93 meV per atom
SG   R3m (160)
Offset from the most stable computed form   0.0546 eV/atom
N(E_F)   12.70 states/eV per cell

Cell: 2.766 2.766 20.336 Å, 90.00 90.00 120.00°
Sites, in units of the cell vectors:
Ag: 0.667 0.333 0.642
Ag: 0.000 0.000 0.309
Ag: 0.333 0.667 0.976
Pt: 0.667 0.333 0.854
Pt: 0.333 0.667 0.187
Pt: 0.000 0.000 0.520
Ni: 0.333 0.667 0.418
Ni: 0.000 0.000 0.752
Ni: 0.667 0.333 0.085

=====

Compound: MnSb3Ir
Source: Alexandria via LeMat-Bulk
Functional: PBE
Structure: relaxed

## Properties
SG   Pm-3m (221)
Formation energy without anion corrections   798 meV/atom
N(E_F)   3.95 states/eV per cell

Cell: 4.819 4.819 4.819 Å, 90.00 90.00 90.00°
Sites, in units of the cell vectors:
Mn: 0.000 0.000 0.000
Sb: 0.000 0.500 0.000
Sb: 0.500 0.000 0.000
Sb: 0.000 0.000 0.500
Ir: 0.500 0.500 0.500

=====

Compound: YTaOs2
Source: Alexandria via LeMat-Bulk
Functional: PBE
Structure: relaxed

## Properties
ΔH_f (0 K)   223 meV per atom
SG   Immm (71)
N(E_F)   3.82 states/eV per cell

Cell: 5.350 5.350 5.350 Å, 144.63 124.53 67.53°
Sites, in units of the cell vectors:
Ta: 0.750 0.250 0.500
Os: 0.983 0.983 0.000
Os: 0.517 0.517 0.000
Y: 0.250 0.750 0.500